No. 1
This record from the Alexandria database describes a relaxed Pr2Zr3Ge4 crystal. The functional is PBE.

a b c (Å): 7.3922 7.5672 7.5685
angles (deg): 90.00 90.00 109.19
Last column: nearest neighbours and their distance in Å.
Sites, in units of the cell vectors:
1 Zr 0.7500 0.2544 0.8277  6 Ge 2.76-2.92
2 Zr 0.0000 0.5000 0.5000  6 Ge 2.88-2.97
3 Zr 0.2500 0.2544 0.6723  6 Ge 2.76-2.92
4 Zr 0.5000 0.5000 0.0000  6 Ge 2.88-2.97
5 Zr 0.7500 0.7456 0.3277  6 Ge 2.76-2.92
6 Zr 0.2500 0.7456 0.1723  6 Ge 2.76-2.92
7 Ge 0.3633 0.0867 0.9606  4 Zr 2.79-2.97, 1 Ge 2.81, 1 Pr 3.01
8 Ge 0.3641 0.4938 0.3685  5 Zr 2.76-2.96, 1 Ge 2.81, 1 Pr 3.01
9 Ge 0.6359 0.5062 0.6315  5 Zr 2.76-2.96, 1 Ge 2.81, 1 Pr 3.01
10 Ge 0.1367 0.9133 0.4606  4 Zr 2.79-2.97, 1 Ge 2.81, 1 Pr 3.01
11 Ge 0.6367 0.9133 0.0394  4 Zr 2.79-2.97, 1 Ge 2.81, 1 Pr 3.01
12 Ge 0.8641 0.4938 0.1315  5 Zr 2.76-2.96, 1 Ge 2.81, 1 Pr 3.01
13 Ge 0.8633 0.0867 0.5394  4 Zr 2.79-2.97, 1 Ge 2.81, 1 Pr 3.01
14 Ge 0.1359 0.5062 0.8685  5 Zr 2.76-2.96, 1 Ge 2.81, 1 Pr 3.01
15 Pr 0.4333 0.8114 0.6706  7 Ge 3.01-3.33
16 Pr 0.0667 0.1886 0.1706  7 Ge 3.01-3.33
17 Pr 0.5667 0.1886 0.3294  7 Ge 3.01-3.33
18 Pr 0.9333 0.8114 0.8294  7 Ge 3.01-3.33

Crystal system = monoclinic
Formation enthalpy at 0 K = -866 meV/atom

No. 2
This record from the Alexandria database describes a relaxed LaThRuPt crystal. The functional is PBE.

a b c (Å): 5.0830 5.0830 5.0830
angles (deg): 60.00 60.00 60.00
Last column: nearest neighbours and their distance in Å.
Sites, in units of the cell vectors:
1 Pt 0.7500 0.7500 0.7500  4 La 3.11, 4 Th 3.11
2 Ru 0.2500 0.2500 0.2500  4 La 3.11, 4 Th 3.11
3 Th 0.5000 0.5000 0.5000  4 Ru 3.11, 4 Pt 3.11
4 La 0.0000 0.0000 0.0000  4 Pt 3.11, 4 Ru 3.11

Crystal system = cubic
Formation enthalpy at 0 K = -638 meV/atom

No. 3
This record from the Alexandria database describes a relaxed TcMo2Os crystal. The functional is PBE.

a b c (Å): 4.7932 4.7932 4.8450
angles (deg): 80.40 80.40 33.70
Last column: nearest neighbours and their distance in Å.
Sites, in units of the cell vectors:
1 Tc 0.2500 0.2500 0.2500  6 Mo 2.76-2.80, 2 Tc 2.78, 4 Os 2.79
2 Mo 0.0028 0.0028 0.9977  3 Os 2.75-2.79, 3 Tc 2.76-2.80, 6 Mo 2.78-2.81
3 Mo 0.4972 0.4972 0.5023  3 Os 2.75-2.79, 3 Tc 2.76-2.80, 6 Mo 2.78-2.81
4 Os 0.7500 0.7500 0.7500  6 Mo 2.75-2.79, 2 Os 2.78, 4 Tc 2.79

Crystal system = monoclinic
Formation enthalpy at 0 K = 153 meV/atom
Relative energy among the computed polymorphs = 47 meV per atom

No. 4
This record from the Alexandria database describes a relaxed CaTiMnRu2 crystal. The functional is PBE.

a b c (Å): 4.5463 4.4723 4.5463
angles (deg): 90.00 90.00 90.00
Last column: nearest neighbours and their distance in Å.
Sites, in units of the cell vectors:
1 Ti 0.0000 0.5000 0.0000  2 Ca 2.24
2 Ru 0.0000 0.0000 0.5000  2 Ca 2.27
3 Ru 0.5000 0.0000 0.0000  2 Ca 2.27
4 Mn 0.5000 0.5000 0.5000  8 Ru 3.19, 4 Ti 3.21
5 Ca 0.0000 0.0000 0.0000  2 Ti 2.24, 4 Ru 2.27

Crystal system = tetragonal
Formation enthalpy at 0 K = 2375 meV/atom

No. 5
This record from the Alexandria database describes a relaxed TlCdAgHg crystal. The functional is PBE.

a b c (Å): 5.1670 5.1670 5.1670
angles (deg): 60.00 60.00 60.00
Last column: nearest neighbours and their distance in Å.
Sites, in units of the cell vectors:
1 Ag 0.0000 0.0000 0.0000  4 Cd 3.16, 4 Tl 3.16
2 Tl 0.2500 0.2500 0.2500  4 Hg 3.16, 4 Ag 3.16
3 Cd 0.7500 0.7500 0.7500  4 Ag 3.16, 4 Hg 3.16
4 Hg 0.5000 0.5000 0.5000  4 Cd 3.16, 4 Tl 3.16

Crystal system = cubic
Formation enthalpy at 0 K = 111 meV/atom

No. 6
This record from the Alexandria database describes a relaxed TlTeH crystal. The functional is PBE.

a b c (Å): 4.9719 6.3843 23.2899
angles (deg): 29.79 92.93 118.04
Last column: nearest neighbours and their distance in Å.
Sites, in units of the cell vectors:
1 Te 0.5910 0.1516 0.4166  1 Te 2.85, 1 H 3.17
2 Te 0.3321 0.8726 0.3615  1 Te 2.85, 1 H 3.17
3 H 0.3448 0.7815 0.9436  1 H 0.76
4 H 0.5783 0.2430 0.8346  1 H 0.76
5 Tl 0.5403 0.1231 0.7097  3 Te 3.25-3.27, 4 H 3.27-3.58, 1 Tl 3.61
6 Tl 0.3827 0.9009 0.0684  3 Te 3.26-3.27, 5 H 3.27-3.64, 1 Tl 3.61

Crystal system = triclinic
Relative energy among the computed polymorphs = 0 meV per atom

No. 7
This record from the Alexandria database describes a relaxed PmPrPu2S4 crystal. The functional is PBE.

a b c (Å): 4.0035 6.9712 6.9386
angles (deg): 70.65 90.00 90.00
Last column: nearest neighbours and their distance in Å.
Sites, in units of the cell vectors:
1 Pr 0.5000 0.5000 0.0000  6 S 2.89
2 S 0.0000 0.7617 0.7435  3 Pu 2.79-2.81, 1 Pm 2.87, 2 Pr 2.89
3 S 0.5000 0.2405 0.7504  3 Pu 2.79-2.81, 2 Pm 2.87, 1 Pr 2.89
4 S 0.0000 0.2383 0.2565  3 Pu 2.79-2.81, 1 Pm 2.87, 2 Pr 2.89
5 S 0.5000 0.7595 0.2496  3 Pu 2.79-2.81, 2 Pm 2.87, 1 Pr 2.89
6 Pu 0.0000 0.0000 0.0000  6 S 2.81
7 Pu 0.5000 0.0000 0.5000  6 S 2.79
8 Pm 0.0000 0.5000 0.5000  6 S 2.87

Crystal system = monoclinic
Energy relative to the elements, uncorrected = -1.913 eV/atom

No. 8
This record from the Alexandria database describes a relaxed SmNp5N6 crystal. The functional is PBE.

a b c (Å): 6.0163 6.0142 6.0143
angles (deg): 60.00 80.40 70.52
Last column: nearest neighbours and their distance in Å.
Sites, in units of the cell vectors:
1 N 0.7424 0.4319 0.6541  5 Np 2.38-2.46, 1 Sm 2.54
2 N 0.7424 0.0859 0.3459  5 Np 2.38-2.46, 1 Sm 2.54
3 N 0.2576 0.5681 0.3459  5 Np 2.38-2.46, 1 Sm 2.54
4 N 0.7449 0.7385 0.0000  5 Np 2.37-2.46, 1 Sm 2.54
5 N 0.2576 0.9141 0.6541  5 Np 2.38-2.46, 1 Sm 2.54
6 N 0.2551 0.2615 0.0000  5 Np 2.37-2.46, 1 Sm 2.54
7 Sm 0.0000 0.0000 0.0000  6 N 2.54
8 Np 0.5000 0.1645 0.6710  6 N 2.38-2.46
9 Np 0.5000 0.5000 0.0000  6 N 2.37-2.46
10 Np 0.0000 0.6673 0.6654  6 N 2.45
11 Np 0.5000 0.8355 0.3290  6 N 2.38-2.46
12 Np 0.0000 0.3327 0.3346  6 N 2.45

Crystal system = monoclinic
Energy relative to the elements, uncorrected = -1.168 eV/atom

No. 9
This record from the Alexandria database describes a relaxed KTaTe2 crystal. The functional is PBE.

a b c (Å): 4.5878 4.0323 8.1432
angles (deg): 75.63 90.00 90.00
Last column: nearest neighbours and their distance in Å.
Sites, in units of the cell vectors:
1 Ta 0.5000 0.8140 0.9976  4 Te 2.68-2.71
2 Te 0.0000 0.9015 0.8215  2 Ta 2.68
3 Te 0.5000 0.1986 0.2279  2 Ta 2.71
4 K 0.0000 0.5859 0.4529  6 Te 3.53-3.54

Crystal system = orthorhombic
Energy relative to the elements, uncorrected = -0.158 eV/atom

No. 10
This record from the Alexandria database describes a relaxed Sn6P2Se3S crystal. The functional is PBE.

a b c (Å): 4.1081 8.2963 9.3226
angles (deg): 103.89 102.73 90.00
Last column: nearest neighbours and their distance in Å.
Sites, in units of the cell vectors:
1 Sn 0.6733 0.5685 0.3466  3 P 2.81-2.82, 3 Se 3.03-3.06
2 Sn 0.3267 0.4315 0.6534  3 P 2.81-2.82, 3 Se 3.03-3.06
3 Sn 0.6676 0.0966 0.3353  2 P 2.85, 3 Se 2.91-3.00, 1 S 2.96
4 Sn 0.0061 0.2473 0.0121  1 P 2.83, 2 S 2.89, 3 Se 2.96-3.06
5 Sn 0.9939 0.7527 0.9879  1 P 2.83, 2 S 2.89, 3 Se 2.96-3.06
6 Sn 0.3324 0.9034 0.6647  2 P 2.85, 3 Se 2.91-3.00, 1 S 2.96
7 P 0.1666 0.3345 0.3332  6 Sn 2.81-2.85
8 P 0.8334 0.6655 0.6668  6 Sn 2.81-2.85
9 Se 0.5000 0.5000 0.0000  6 Sn 2.96-3.06
10 Se 0.1673 0.8334 0.3346  6 Sn 2.91-3.06
11 Se 0.8327 0.1666 0.6654  6 Sn 2.91-3.06
12 S 0.5000 0.0000 0.0000  6 Sn 2.89-2.96

Crystal system = monoclinic
Energy relative to the elements, uncorrected = -0.250 eV/atom

No. 11
This record from the Alexandria database describes a relaxed Tb4PrNdSm2 crystal. The functional is PBE.

a b c (Å): 3.6206 6.2533 11.9446
angles (deg): 79.76 90.00 90.00
Last column: nearest neighbours and their distance in Å.
Sites, in units of the cell vectors:
1 Tb 0.0000 0.7501 0.7494  3 Sm 3.60-3.61, 1 Nd 3.60, 6 Tb 3.61-3.62, 2 Pr 3.61
2 Tb 0.0000 0.2499 0.2506  3 Sm 3.60-3.61, 1 Nd 3.60, 6 Tb 3.61-3.62, 2 Pr 3.61
3 Tb 0.5000 0.7510 0.2503  3 Sm 3.60, 2 Nd 3.60, 6 Tb 3.61-3.62, 1 Pr 3.61
4 Tb 0.5000 0.2490 0.7497  2 Nd 3.60, 3 Sm 3.60, 6 Tb 3.61-3.62, 1 Pr 3.61
5 Nd 0.0000 0.5000 0.5000  6 Tb 3.60, 4 Sm 3.61, 2 Nd 3.62
6 Sm 0.0000 0.0000 0.0000  6 Tb 3.60-3.61, 4 Pr 3.61, 2 Sm 3.62
7 Sm 0.5000 0.0000 0.5000  6 Tb 3.60, 4 Nd 3.61, 2 Sm 3.62
8 Pr 0.5000 0.5000 0.0000  6 Tb 3.61, 4 Sm 3.61, 2 Pr 3.62

Crystal system = monoclinic
Formation enthalpy at 0 K = 15 meV/atom

No. 12
This record from the Alexandria database describes a relaxed Dy3PtPb2 crystal. The functional is PBE.

a b c (Å): 4.5329 11.7070 12.3819
angles (deg): 90.00 90.00 90.00
Last column: nearest neighbours and their distance in Å.
Sites, in units of the cell vectors:
1 Dy 0.2500 0.1312 0.5557  1 Pt 2.94, 4 Pb 3.13
2 Dy 0.2500 0.7030 0.2441  2 Pt 2.95, 2 Pb 3.12-3.30
3 Dy 0.2500 0.3688 0.0557  1 Pt 2.94, 4 Pb 3.13
4 Dy 0.2500 0.7970 0.7441  2 Pt 2.95, 2 Pb 3.12-3.30
5 Dy 0.7500 0.5485 0.6202  3 Pt 3.07-3.12, 5 Pb 3.17-3.37, 1 Dy 3.39
6 Dy 0.7500 0.2030 0.2559  2 Pt 2.95, 2 Pb 3.12-3.30
7 Dy 0.7500 0.9515 0.1202  3 Pt 3.07-3.12, 5 Pb 3.17-3.37, 1 Dy 3.39
8 Dy 0.7500 0.2970 0.7559  2 Pt 2.95, 2 Pb 3.12-3.30
9 Dy 0.2500 0.0485 0.8798  3 Pt 3.07-3.12, 5 Pb 3.17-3.37, 1 Dy 3.39
10 Dy 0.7500 0.8688 0.4443  1 Pt 2.94, 4 Pb 3.13
11 Dy 0.2500 0.4515 0.3798  3 Pt 3.07-3.12, 5 Pb 3.17-3.37, 1 Dy 3.39
12 Dy 0.7500 0.6312 0.9443  1 Pt 2.94, 4 Pb 3.13
13 Pb 0.2500 0.9958 0.3171  1 Pt 2.88, 2 Dy 3.13
14 Pb 0.7500 0.0042 0.6829  1 Pt 2.88, 2 Dy 3.13
15 Pb 0.7500 0.4958 0.1829  1 Pt 2.88, 2 Dy 3.13
16 Pb 0.2500 0.8023 0.0104  2 Pt 2.90, 5 Dy 3.12-3.17
17 Pb 0.7500 0.1977 0.9896  2 Pt 2.90, 5 Dy 3.12-3.17
18 Pb 0.7500 0.3023 0.4896  2 Pt 2.90, 5 Dy 3.12-3.17
19 Pb 0.2500 0.5042 0.8171  1 Pt 2.88, 2 Dy 3.13
20 Pb 0.2500 0.6977 0.5104  2 Pt 2.90, 5 Dy 3.12-3.17
21 Pt 0.7500 0.6277 0.3794  3 Pb 2.88-2.90, 6 Dy 2.94-3.12
22 Pt 0.7500 0.8723 0.8794  3 Pb 2.88-2.90, 6 Dy 2.94-3.12
23 Pt 0.2500 0.1277 0.1206  3 Pb 2.88-2.90, 6 Dy 2.94-3.12
24 Pt 0.2500 0.3723 0.6206  3 Pb 2.88-2.90, 6 Dy 2.94-3.12

Crystal system = orthorhombic
Formation enthalpy at 0 K = -705 meV/atom

No. 13
This record from the Alexandria database describes a relaxed PrScSi2Ir crystal. The functional is PBE.

a b c (Å): 4.1574 4.1574 6.2589
angles (deg): 109.40 109.40 90.00
Last column: nearest neighbours and their distance in Å.
Sites, in units of the cell vectors:
1 Sc 0.2500 0.7500 0.5000  4 Si 2.59
2 Si 0.6096 0.6096 0.2192  1 Si 2.42, 2 Ir 2.59, 2 Sc 2.59
3 Si 0.3904 0.3904 0.7808  1 Si 2.42, 2 Ir 2.59, 2 Sc 2.59
4 Pr 0.0000 0.0000 0.0000  8 Si 3.18, 4 Sc 3.46, 4 Ir 3.46
5 Ir 0.7500 0.2500 0.5000  4 Si 2.59

Crystal system = tetragonal
Energy relative to the elements, uncorrected = -0.912 eV/atom